1.
Density functional theory data (GGA-PBE) for an optimized crystal structure of PrYAu.

Structure (POSCAR):
```
PrYAu
1.0
0.0000 3.4992 3.4992
3.4992 0.0000 3.4992
3.4992 3.4992 0.0000
Pr Y Au
1 1 1
direct
0.0000 0.0000 0.0000
0.2500 0.2500 0.2500
0.5000 0.5000 0.5000
```

Results
The space group is F-43m, No. 216. The density comes out at 8.27 g/cm³. The final energy comes out at -4.739 eV/atom. Its offset from the most stable computed form is 0.688 eV per atom. The formation energy is 0.0970 eV/atom.

=====

2.
Density functional theory data (GGA-PBE) for an optimized crystal structure of PrYAu.

Structure (POSCAR):
```
PrYAu
1.0
7.2809 0.0000 0.0000
0.0000 5.0539 0.0000
0.0000 0.0000 9.1483
Pr Y Au
4 4 4
direct
0.0106 0.2500 0.1774
0.4894 0.7500 0.6774
0.5106 0.2500 0.3226
0.9894 0.7500 0.8226
0.1486 0.2500 0.5823
0.3514 0.7500 0.0823
0.6486 0.2500 0.9177
0.8514 0.7500 0.4177
0.2494 0.7500 0.4023
0.2506 0.2500 0.9023
0.7494 0.7500 0.0977
0.7506 0.2500 0.5977
```

Results
The space group is Pnma, No. 62. The density comes out at 8.42 g/cm³. The final energy comes out at -5.426 eV/atom. Its offset from the most stable computed form is 0.000 eV per atom. The formation energy is -0.5906 eV/atom.

=====

3.
Density functional theory data (GGA-PBE) for an optimized crystal structure of PrZn6Au6.

Structure (POSCAR):
```
PrZn6Au6
1.0
-2.6297 4.5622 4.7544
2.6297 -4.5622 4.7544
2.6297 4.5622 -4.7544
Pr Zn Au
1 6 6
direct
0.0000 0.0000 0.0000
0.0000 0.0000 0.5000
0.0000 0.5000 0.0000
0.2409 0.5000 0.7409
0.5000 0.0000 0.0000
0.5000 0.5000 0.5000
0.7591 0.5000 0.2591
0.1813 0.6813 0.5000
0.3389 0.0000 0.3389
0.3433 0.3433 0.0000
0.6567 0.6567 0.0000
0.6611 0.0000 0.6611
0.8187 0.3187 0.5000
```

Results
The space group is Immm, No. 71. The density comes out at 12.48 g/cm³. The final energy comes out at -2.824 eV/atom. The formation energy is -0.3648 eV/atom.

=====

4.
Density functional theory data (GGA-PBE) for an optimized crystal structure of Pr2ZnAu3.

Structure (POSCAR):
```
Pr2ZnAu3
1.0
5.4594 -2.3412 0.0000
5.4594 2.3412 0.0000
-4.7912 0.0000 5.4387
Pr Zn Au
2 1 3
direct
0.0000 0.0000 0.0000
0.0669 0.0669 0.5724
0.3624 0.3624 0.1668
0.3722 0.3722 0.5901
0.6777 0.6777 0.4036
0.7144 0.7144 0.0015
```

Results
The space group is Cm, No. 8. The density comes out at 11.20 g/cm³. The final energy comes out at -4.159 eV/atom. The formation energy is -0.7229 eV/atom.

=====

5.
Density functional theory data (GGA-PBE) for an optimized crystal structure of Pr4ZnAu2.

Structure (POSCAR):
```
Pr4ZnAu2
1.0
-5.1147 5.1147 2.5286
5.1147 -5.1147 2.5286
5.1147 5.1147 -2.5286
Pr Zn Au
4 1 2
direct
0.0000 0.2387 0.2387
0.0000 0.7613 0.7613
0.2387 0.0000 0.2387
0.7613 0.0000 0.7613
0.5000 0.5000 0.0000
0.2500 0.7500 0.5000
0.7500 0.2500 0.5000
```

Results
The space group is I4/mmm, No. 139. The density comes out at 6.42 g/cm³. The final energy comes out at -3.688 eV/atom. The formation energy is 0.1543 eV/atom.

=====

6.
Density functional theory data (GGA-PBE) for an optimized crystal structure of Pr2ZnAu3.

Structure (POSCAR):
```
Pr2ZnAu3
1.0
0.0000 4.7033 8.1297
3.6890 0.0000 8.1297
3.6890 4.7033 0.0000
Pr Zn Au
4 2 6
direct
0.2454 0.7546 0.7546
0.2500 0.2500 0.2500
0.7500 0.7500 0.7500
0.7546 0.2454 0.2454
0.3331 0.3331 0.6669
0.6669 0.6669 0.3331
0.1718 0.1718 0.8282
0.1743 0.6531 0.3469
0.3469 0.8257 0.1743
0.6531 0.1743 0.8257
0.8257 0.3469 0.6531
0.8282 0.8282 0.1718
```

Results
The space group is Fmmm, No. 69. The density comes out at 11.04 g/cm³. The final energy comes out at -4.158 eV/atom. The formation energy is -0.7220 eV/atom.